# TcBi2SeBr | Alexandria via LeMat-Bulk | PBE-GGA | optimized geometry
# * total moment: 0.00 μB per formula unit
# * raw total energy: -4.4531 eV/atom
# * energy relative to the elements, uncorrected: 204 meV per atom
data_TcBi2SeBr
_chemical_formula_sum 'Tc1 Bi2 Se1 Br1'
_space_group_name_H-M_alt 'P 4/m m m'
_space_group_IT_number 123
_space_group_name_Hall '-P 4 2'
_cell_length_a 5.497
_cell_length_b 5.497
_cell_length_c 4.690
_cell_angle_alpha 90.00
_cell_angle_beta 90.00
_cell_angle_gamma 90.00
loop_
_atom_site_label
_atom_site_type_symbol
_atom_site_fract_x
_atom_site_fract_y
_atom_site_fract_z
Tc1 Tc 0.000 0.000 0.000
Bi1 Bi 0.000 0.500 0.000
Se1 Se 0.000 0.000 0.500
Br1 Br 0.500 0.500 0.500